GGA+U CaMn2SbO6, optimized geometry; E = -69.8 eV for the cell shown; SG = P1 (1); calculated density = 4.86 Mg/m³; magnetization = 9.000 μB/f.u.
1.0
-3.333 -0.098 4.232
-3.418 -4.211 0.871
1.329 -3.587 4.429
O Mn Sb Ca
6 2 1 1
direct
0.605 0.223 0.225
0.362 0.718 0.782
0.940 0.579 0.252
0.226 0.950 0.215
0.157 0.380 0.756
0.731 0.133 0.778
0.008 0.018 0.968
0.523 0.530 0.415
0.316 0.326 0.032
0.794 0.806 0.592